VASP calculation (PBE-GGA) on an optimized crystal structure of Tb3PbSe2.

Output
ΔE to the lowest computed polymorph: 0 meV per atom
raw formation energy: -1.3676 eV per atom
space group: No. 15

Cell: 7.3260 7.3279 7.3279 Å, 119.97 99.59 99.59°
Positions (direct):
Se1 0.7500 0.7466 0.2534
Se2 0.2500 0.2534 0.7466
Se3 0.2500 0.9162 0.0838
Se4 0.7500 0.0838 0.9162
Tb1 0.9958 0.1482 0.3234
Tb2 0.0042 0.8518 0.6766
Tb3 0.4958 0.3234 0.1482
Tb4 0.5042 0.6766 0.8518
Tb5 0.5000 0.0000 0.5000
Tb6 0.0000 0.5000 0.0000
Pb1 0.7500 0.4201 0.5799
Pb2 0.2500 0.5799 0.4201

=====

VASP calculation (PBE-GGA) on an optimized crystal structure of TbPbSe.

Output
ΔE to the lowest computed polymorph: 156 meV per atom
raw formation energy: -0.7774 eV per atom
space group: No. 189

Cell: 8.6080 8.6080 7.7542 Å, 90.00 90.00 120.00°
Positions (direct):
Se1 0.0000 0.2551 0.0000
Se2 0.2551 0.0000 0.0000
Se3 0.0000 0.2551 0.5000
Se4 0.2551 0.0000 0.5000
Se5 0.7449 0.7449 0.5000
Se6 0.7449 0.7449 0.0000
Tb1 0.6667 0.3333 0.0000
Tb2 0.6667 0.3333 0.5000
Tb3 0.0000 0.0000 0.7500
Tb4 0.3333 0.6667 0.0000
Tb5 0.3333 0.6667 0.5000
Tb6 0.0000 0.0000 0.2500
Pb1 0.5565 0.0000 0.7500
Pb2 0.4435 0.4435 0.7500
Pb3 0.5565 0.0000 0.2500
Pb4 0.0000 0.5565 0.7500
Pb5 0.0000 0.5565 0.2500
Pb6 0.4435 0.4435 0.2500

=====

| no. | M_tot (μB/atom) |
| --- | --- |
| 1 | 0.000 |
| 2 | 0.000 |